Below is a relaxed Rb2CoHBr6 crystal, with properties calculated at the GGA-PBE level.

Its spin magnetization is 1.42 μB per formula unit. The total energy comes out at -2.87 eV per atom.

The space group is I4/mmm (No. 139) and the conventional cell measures 6.932, 6.932 and 11.597 Å, with angles of 90.00, 90.00 and 90.00 degrees. The inequivalent atoms are Rb at (0.000, 0.500, 0.250), Co at (0.000, 0.000, 0.000), H at (0.000, 0.000, 0.500), Br at (0.000, 0.000, 0.207) and Br at (0.244, 0.244, 0.500).

Below is a relaxed Zn2Hg2Te crystal, with properties calculated at the GGA-PBE level.

Its spin magnetization is 0.00 μB per formula unit. The total energy comes out at -1.14 eV per atom.

The space group is I4/mmm (No. 139) and the conventional cell measures 4.258, 4.258 and 12.874 Å, with angles of 90.00, 90.00 and 90.00 degrees. The inequivalent atoms are Zn at (0.000, 0.000, 0.097), Hg at (0.000, 0.500, 0.250) and Te at (0.000, 0.000, 0.500).

Below is a relaxed PmSmSiRh crystal, with properties calculated at the GGA-PBE level.

Its spin magnetization is 0.00 μB per formula unit. The total energy comes out at -6.12 eV per atom.

The space group is F-43m (No. 216) and the conventional cell measures 7.135, 7.135 and 7.135 Å, with angles of 90.00, 90.00 and 90.00 degrees. The inequivalent atoms are Pm at (0.000, 0.000, 0.000), Sm at (0.000, 0.000, 0.500), Si at (0.250, 0.250, 0.750) and Rh at (0.250, 0.250, 0.250).